Entry 1:
# Ac4MgCd5, optimized geometry, DFT GGA-PBE
data_Ac4MgCd5
_chemical_formula_sum 'Ac4 Mg1 Cd5'
_cell_length_a 3.993
_cell_length_b 3.993
_cell_length_c 19.897
_cell_angle_alpha 90.00
_cell_angle_beta 90.00
_cell_angle_gamma 90.00
_symmetry_space_group_name_H-M 'P 1'
_symmetry_Int_Tables_number 1
loop_
_symmetry_equiv_pos_as_xyz
'x,y,z'
loop_
_atom_site_label
_atom_site_type_symbol
_atom_site_fract_x
_atom_site_fract_y
_atom_site_fract_z
_atom_site_occupancy
Ac1 Ac 0.000 0.000 0.105 1
Ac2 Ac 0.000 0.000 0.314 1
Ac3 Ac 0.000 0.000 0.686 1
Ac4 Ac 0.000 0.000 0.895 1
Mg1 Mg 0.000 0.000 0.500 1
Cd1 Cd 0.500 0.500 0.000 1
Cd2 Cd 0.500 0.500 0.209 1
Cd3 Cd 0.500 0.500 0.422 1
Cd4 Cd 0.500 0.500 0.578 1
Cd5 Cd 0.500 0.500 0.791 1
# Formation enthalpy at 0 K (eV/atom): -0.2452
# Density of states at the Fermi level (states/eV/cell): 11.1

Entry 2:
# SeSICl2, optimized geometry, DFT GGA-PBE
data_SeSICl2
_chemical_formula_sum 'Se1 S1 I1 Cl2'
_cell_length_a 4.792
_cell_length_b 4.792
_cell_length_c 5.705
_cell_angle_alpha 90.00
_cell_angle_beta 90.00
_cell_angle_gamma 90.00
_symmetry_space_group_name_H-M 'P 1'
_symmetry_Int_Tables_number 1
loop_
_symmetry_equiv_pos_as_xyz
'x,y,z'
loop_
_atom_site_label
_atom_site_type_symbol
_atom_site_fract_x
_atom_site_fract_y
_atom_site_fract_z
_atom_site_occupancy
Se1 Se 0.000 0.000 0.000 1
S1 S 0.000 0.000 0.500 1
I1 I 0.500 0.500 0.500 1
Cl1 Cl 0.000 0.500 0.000 1
Cl2 Cl 0.500 0.000 0.000 1
# Density of states at the Fermi level (states/eV/cell): 3.1
# Energy above the most stable polymorph in this dataset (meV per atom): 0